Below is a geometry-optimized BiAs2PBr structure, with properties calculated at the PBE-GGA level.

a b c (Å): 5.6430 5.6430 5.6216
angles (deg): 90.00 90.00 90.00
With the nearest neighbours (Å) after each atom.
Positions (direct):
Bi 0.0000 0.0000 0.0000  2 Br 2.81, 4 As 2.82
As 0.0000 0.5000 0.0000  2 Bi 2.82
As 0.5000 0.0000 0.0000  2 Bi 2.82
P 0.5000 0.5000 0.5000  8 As 3.98, 4 Br 3.99
Br 0.0000 0.0000 0.5000  2 Bi 2.81

Properties
Energy above the most stable polymorph in this dataset (meV per atom): 692.0
M_tot (μB per cell): 0.1
Volume (Å³/cell): 179.0